(1)
## Ta3TcPd (GGA-PBE)

Data for a geometry-optimized Ta3TcPd structure.

```
5
Lattice="4.765 0.000 0.000 0.000 4.765 0.000 0.000 0.000 4.765" Properties=species:S:1:pos:R:3 pbc="T T T"
Ta 0.000 0.000 2.382
Ta 0.000 2.382 0.000
Ta 2.382 0.000 0.000
Tc 0.000 0.000 0.000
Pd 2.382 2.382 2.382
```

- Calculated formation energy: 1.153 eV per atom
- Total magnetization: 0.0 μB/cell
- Crystal system: cubic
- Relative energy among the computed polymorphs: 0.00 eV/f.u.
- Total DFT energy (no corrections): -45.35 eV for the cell shown

(2)
## Ta3TcPd (GGA-PBE)

Data for a geometry-optimized Ta3TcPd structure.

```
5
Lattice="4.758 0.000 0.000 0.000 4.758 0.000 0.000 0.000 4.758" Properties=species:S:1:pos:R:3 pbc="T T T"
Ta 0.000 0.000 2.379
Ta 0.000 2.379 0.000
Ta 2.379 0.000 0.000
Tc 2.379 2.379 2.379
Pd 0.000 0.000 0.000
```

- Calculated formation energy: 1.685 eV per atom
- Total magnetization: 0.7 μB/cell
- Crystal system: cubic
- Relative energy among the computed polymorphs: 2.66 eV/f.u.
- Total DFT energy (no corrections): -42.69 eV for the cell shown

(3)
## Ta2VTcPd (GGA-PBE)

Data for a geometry-optimized Ta2VTcPd structure.

```
5
Lattice="4.821 0.000 0.000 0.000 4.821 0.000 0.000 0.000 4.369" Properties=species:S:1:pos:R:3 pbc="T T T"
Ta 0.000 2.410 0.000
Ta 2.410 0.000 0.000
V 0.000 0.000 2.185
Tc 2.410 2.410 2.185
Pd 0.000 0.000 0.000
```

- Calculated formation energy: 1.612 eV per atom
- Total magnetization: 0.0 μB/cell
- Crystal system: tetragonal
- Total DFT energy (no corrections): -40.32 eV for the cell shown

(4)
## TaZn2TcPd (GGA-PBE)

Data for a geometry-optimized TaZn2TcPd structure.

```
5
Lattice="4.605 0.000 0.000 0.000 4.605 0.000 0.000 0.000 4.707" Properties=species:S:1:pos:R:3 pbc="T T T"
Ta 0.000 0.000 0.000
Zn 0.000 2.303 2.353
Zn 2.303 0.000 2.353
Tc 2.303 2.303 2.353
Pd 2.303 2.303 0.000
```

- Calculated formation energy: 1.383 eV per atom
- Total magnetization: 0.0 μB/cell
- Crystal system: tetragonal
- Total DFT energy (no corrections): -23.04 eV for the cell shown

(5)
## TaTe4Pd (GGA-PBE)

Data for a geometry-optimized TaTe4Pd structure.

```
12
Lattice="4.483 -7.680 0.000 4.483 7.680 0.000 -3.934 0.000 4.591" Properties=species:S:1:pos:R:3 pbc="T T T"
Ta 1.532 6.962 3.444
Ta 3.499 -6.962 1.148
Te -0.201 4.665 3.555
Te -0.759 0.893 3.888
Te 1.209 -0.893 1.592
Te 3.265 4.665 3.332
Te 1.766 -4.665 1.259
Te 3.823 0.893 2.999
Te 5.790 -0.893 0.703
Te 5.233 -4.665 1.036
Pd 3.499 2.975 1.148
Pd 1.532 -2.975 3.444
```

- Total magnetization: 0.0 μB/cell
- ΔE_f (raw): -206.2 meV per atom
- Crystal system: monoclinic
- Total DFT energy (no corrections): -61.70 eV for the cell shown

(6)
## TaTe3Pd (GGA-PBE)

Data for a geometry-optimized TaTe3Pd structure.

```
5
Lattice="5.378 0.000 0.000 0.000 5.378 0.000 0.000 0.000 5.378" Properties=species:S:1:pos:R:3 pbc="T T T"
Ta 0.000 0.000 0.000
Te 0.000 0.000 2.689
Te 0.000 2.689 0.000
Te 2.689 0.000 0.000
Pd 2.689 2.689 2.689
```

- Total magnetization: 0.0 μB/cell
- ΔE_f (raw): 532.1 meV per atom
- Crystal system: cubic
- Relative energy among the computed polymorphs: 4.05 eV/f.u.
- Total DFT energy (no corrections): -23.81 eV for the cell shown

(7)
## Ta2Te8Pd3 (GGA-PBE)

Data for a geometry-optimized Ta2Te8Pd3 structure.

```
26
Lattice="11.661 0.000 0.000 0.000 16.518 0.000 0.000 0.000 3.844" Properties=species:S:1:pos:R:3 pbc="T T T"
Ta 2.384 2.070 0.000
Ta 3.446 10.329 0.000
Ta 8.214 6.189 0.000
Ta 9.277 14.448 0.000
Te 0.363 2.608 1.922
Te 0.673 10.330 0.000
Te 2.641 16.516 1.922
Te 2.741 4.802 0.000
Te 3.090 13.061 0.000
Te 3.190 8.257 1.922
Te 5.157 2.071 0.000
Te 5.468 10.867 1.922
Te 6.193 5.651 1.922
Te 6.504 14.447 0.000
Te 8.471 8.261 1.922
Te 8.571 3.457 0.000
Te 8.920 11.716 0.000
Te 9.020 0.002 1.922
Te 10.988 6.188 0.000
Te 11.298 13.910 1.922
Pd 0.000 0.000 1.922
Pd 1.603 11.933 1.922
Pd 4.228 3.674 1.922
Pd 5.830 8.259 1.922
Pd 7.433 12.844 1.922
Pd 10.058 4.585 1.922
```

- Total magnetization: 0.0 μB/cell
- ΔE_f (raw): -383.7 meV per atom
- Crystal system: orthorhombic
- Total DFT energy (no corrections): -138.81 eV for the cell shown

(8)
## Ta2Te6Pd (GGA-PBE)

Data for a geometry-optimized Ta2Te6Pd structure.

```
18
Lattice="6.609 0.000 0.000 0.000 6.609 0.000 0.000 0.000 11.914" Properties=species:S:1:pos:R:3 pbc="T T T"
Ta 0.000 0.000 1.787
Ta 0.000 0.000 10.126
Ta 3.305 3.305 4.170
Ta 3.305 3.305 7.744
Te 1.306 1.306 3.891
Te 1.306 1.306 8.023
Te 1.425 1.425 0.000
Te 1.880 4.730 5.957
Te 1.999 4.611 2.066
Te 1.999 4.611 9.848
Te 4.611 1.999 2.066
Te 4.611 1.999 9.848
Te 4.730 1.880 5.957
Te 5.184 5.184 0.000
Te 5.304 5.304 3.891
Te 5.304 5.304 8.023
Pd 0.000 0.000 5.957
Pd 3.305 3.305 0.000
```

- Total magnetization: 0.0 μB/cell
- ΔE_f (raw): -146.5 meV per atom
- Crystal system: tetragonal
- Total DFT energy (no corrections): -98.13 eV for the cell shown

(9)
## TaTePd3 (GGA-PBE)

Data for a geometry-optimized TaTePd3 structure.

```
5
Lattice="4.858 0.000 0.000 0.000 4.858 0.000 0.000 0.000 4.858" Properties=species:S:1:pos:R:3 pbc="T T T"
Ta 0.000 0.000 0.000
Te 2.429 2.429 2.429
Pd 0.000 2.429 2.429
Pd 2.429 0.000 2.429
Pd 2.429 2.429 0.000
```

- Total magnetization: 2.7 μB/cell
- ΔE_f (raw): 950.9 meV per atom
- Crystal system: cubic
- Relative energy among the computed polymorphs: 0.81 eV/f.u.
- Total DFT energy (no corrections): -25.82 eV for the cell shown

(10)
## TaTe6Pd3 (GGA-PBE)

Data for a geometry-optimized TaTe6Pd3 structure.

```
20
Lattice="11.469 0.000 0.000 0.000 3.815 0.000 -2.728 0.000 11.372" Properties=species:S:1:pos:R:3 pbc="T T T"
Ta 2.098 0.954 0.569
Ta 6.642 2.861 10.803
Te -1.957 2.861 10.210
Te 0.071 0.954 5.440
Te 1.737 2.861 2.748
Te 0.590 0.954 9.246
Te 4.285 2.861 0.671
Te 3.391 2.861 6.897
Te 5.349 0.954 4.476
Te 4.455 0.954 10.701
Te 8.150 2.861 2.127
Te 7.004 0.954 8.624
Te 8.669 2.861 5.933
Te 10.697 0.954 1.163
Pd -1.730 0.954 7.502
Pd 2.738 0.954 5.180
Pd 2.487 2.861 9.428
Pd 6.253 0.954 1.944
Pd 6.002 2.861 6.192
Pd 10.470 2.861 3.870
```

- Total magnetization: 0.0 μB/cell
- ΔE_f (raw): -199.7 meV per atom
- Crystal system: monoclinic
- Total DFT energy (no corrections): -96.56 eV for the cell shown

(11)
## TaTe3Pd (GGA-PBE)

Data for a geometry-optimized TaTe3Pd structure.

```
10
Lattice="3.698 0.000 0.000 0.000 12.330 3.326 0.000 -12.330 3.326" Properties=species:S:1:pos:R:3 pbc="T T T"
Ta 0.925 -8.138 3.326
Ta 2.774 8.138 3.326
Te 0.925 1.757 1.273
Te 0.925 -3.134 4.840
Te 0.925 6.423 4.574
Te 2.774 -1.757 1.273
Te 2.774 -6.423 4.574
Te 2.774 3.134 4.840
Pd 0.925 -3.414 2.143
Pd 2.774 3.414 2.143
```

- Total magnetization: 0.0 μB/cell
- ΔE_f (raw): -277.1 meV per atom
- Crystal system: orthorhombic
- Relative energy among the computed polymorphs: 0.00 eV/f.u.
- Total DFT energy (no corrections): -55.71 eV for the cell shown

(12)
## TaTePd (GGA-PBE)

Data for a geometry-optimized TaTePd structure.

```
9
Lattice="7.228 -1.849 0.000 7.228 1.849 0.000 -1.495 0.000 6.792" Properties=species:S:1:pos:R:3 pbc="T T T"
Ta 0.000 0.000 0.000
Ta 0.650 0.000 3.442
Ta 9.955 0.000 4.170
Te 3.603 0.000 6.293
Te 7.772 0.000 5.774
Te 12.548 0.000 2.333
Pd 3.308 0.000 2.212
Pd 5.538 0.000 4.361
Pd 8.582 0.000 1.552
```

- Total magnetization: 0.0 μB/cell
- ΔE_f (raw): -98.4 meV per atom
- Crystal system: monoclinic
- Total DFT energy (no corrections): -61.45 eV for the cell shown